1.
Density functional theory data (PBEsol) for crystalline Ca4LaB3O10 at its relaxed geometry.

Values from the calculation:
Formation energy without anion corrections, eV/f.u.: -54.1
Crystal system: monoclinic
Space-group type: Cm (8)
N(E_F), states/eV per cell: 0.0
Final energy, eV/cell: -141.564

Cell and atoms, written as CIF:
```
data_Ca4LaB3O10
_cell_length_a 3.6076
_cell_length_b 8.1278
_cell_length_c 8.9706
_cell_angle_alpha 63.06
_cell_angle_beta 84.92
_cell_angle_gamma 78.72
_space_group_name_H-M_alt 'P 1'
_space_group_IT_number 1
_space_group_name_Hall 'P 1'
loop_
_atom_site_label
_atom_site_fract_x
_atom_site_fract_y
_atom_site_fract_z
Ca1 0.6719 0.9021 0.6387
Ca2 0.6719 0.5409 0.3613
Ca3 0.3325 0.2364 0.2279
Ca4 0.3325 0.4643 0.7721
B1 0.0898 0.8426 0.3917
B2 0.0898 0.2343 0.6083
B3 0.7089 0.6100 0.0000
O1 0.2770 0.7583 0.5430
O2 0.0969 0.0430 0.7041
O3 0.2770 0.3013 0.4570
O4 0.8890 0.3605 0.6629
O5 0.8890 0.0233 0.3371
O6 0.4169 0.1754 0.0000
O7 0.7575 0.5997 0.8495
O8 0.7575 0.4491 0.1505
O9 0.6113 0.7842 0.0000
O10 0.0969 0.7471 0.2959
La1 0.9993 0.9962 0.0000
```

***

2.
Density functional theory data (PBEsol) for crystalline Na2O at its relaxed geometry.

Values from the calculation:
Formation energy without anion corrections, eV/f.u.: -3.4
Crystal system: trigonal
Space-group type: R-3m (166)
Final energy, eV/cell: -22.813

Cell and atoms, written as CIF:
```
data_Na2O
_cell_length_a 3.7551
_cell_length_b 3.7551
_cell_length_c 8.3082
_cell_angle_alpha 76.94
_cell_angle_beta 76.94
_cell_angle_gamma 60.00
_space_group_name_H-M_alt 'P 1'
_space_group_IT_number 1
_space_group_name_Hall 'P 1'
loop_
_atom_site_label
_atom_site_fract_x
_atom_site_fract_y
_atom_site_fract_z
Na1 0.6051 0.6051 0.1848
Na2 0.7993 0.7993 0.6022
Na3 0.2007 0.2007 0.3978
Na4 0.3949 0.3949 0.8152
O1 0.0982 0.0982 0.7054
O2 0.9018 0.9018 0.2946
```

***

3.
Density functional theory data (PBEsol) for crystalline MgCrFe2 at its relaxed geometry.

Values from the calculation:
Crystal system: orthorhombic
Space-group type: Imm2 (44)
Energy of formation, meV/atom: 342
N(E_F), states/eV per cell: 3.9
Final energy, eV/cell: -28.518

Cell and atoms, written as CIF:
```
data_MgCrFe2
_cell_length_a 2.8209
_cell_length_b 4.1630
_cell_length_c 4.8530
_cell_angle_alpha 115.40
_cell_angle_beta 106.90
_cell_angle_gamma 90.00
_space_group_name_H-M_alt 'P 1'
_space_group_IT_number 1
_space_group_name_Hall 'P 1'
loop_
_atom_site_label
_atom_site_fract_x
_atom_site_fract_y
_atom_site_fract_z
Cr1 0.2736 0.7736 0.5471
Fe1 0.9934 0.9934 0.9868
Fe2 0.7329 0.2329 0.4657
Mg1 0.5002 0.5002 0.0003
```

***

4.
Density functional theory data (PBEsol) for crystalline FeAg2Mo at its relaxed geometry.

Values from the calculation:
Crystal system: orthorhombic
Space-group type: Immm (71)
Energy of formation, meV/atom: 563
Energy above the most stable polymorph in this dataset, kJ/mol of atoms: 0.0
N(E_F), states/eV per cell: 4.4
Final energy, eV/cell: -25.102

Cell and atoms, written as CIF:
```
data_FeAg2Mo
_cell_length_a 2.7784
_cell_length_b 4.4702
_cell_length_c 5.4708
_cell_angle_alpha 114.11
_cell_angle_beta 104.71
_cell_angle_gamma 90.00
_space_group_name_H-M_alt 'P 1'
_space_group_IT_number 1
_space_group_name_Hall 'P 1'
loop_
_atom_site_label
_atom_site_fract_x
_atom_site_fract_y
_atom_site_fract_z
Ag1 0.7665 0.7665 0.5330
Ag2 0.2335 0.2335 0.4670
Fe1 0.5000 0.0000 0.0000
Mo1 0.0000 0.5000 0.0000
```

***

5.
Density functional theory data (PBEsol) for crystalline Cs2AgF at its relaxed geometry.

Values from the calculation:
Formation energy without anion corrections, eV/f.u.: -4.6
Crystal system: tetragonal
Space-group type: I-42d (122)
N(E_F), states/eV per cell: 0.0
Final energy, eV/cell: -23.537

Cell and atoms, written as CIF:
```
data_Cs2AgF
_cell_length_a 7.5367
_cell_length_b 7.5367
_cell_length_c 7.5367
_cell_angle_alpha 104.23
_cell_angle_beta 112.15
_cell_angle_gamma 112.15
_space_group_name_H-M_alt 'P 1'
_space_group_IT_number 1
_space_group_name_Hall 'P 1'
loop_
_atom_site_label
_atom_site_fract_x
_atom_site_fract_y
_atom_site_fract_z
Cs1 0.9163 0.5413 0.1250
Cs2 0.0837 0.2087 0.6250
Cs3 0.5837 0.3750 0.4587
Cs4 0.4163 0.8750 0.7913
Ag1 0.0000 0.0000 0.0000
Ag2 0.5000 0.7500 0.2500
F1 0.0000 0.5000 0.5000
F2 0.5000 0.2500 0.7500
```

***

6.
Density functional theory data (PBEsol) for crystalline SrNdMgRuO6 at its relaxed geometry.

Values from the calculation:
Formation energy without anion corrections, eV/f.u.: -24.2
Crystal system: monoclinic
Space-group type: Pc (7)
N(E_F), states/eV per cell: 0.7
Final energy, eV/cell: -149.170

Cell and atoms, written as CIF:
```
data_SrNdMgRuO6
_cell_length_a 5.4994
_cell_length_b 5.5963
_cell_length_c 7.7967
_cell_angle_alpha 90.00
_cell_angle_beta 89.87
_cell_angle_gamma 90.00
_space_group_name_H-M_alt 'P 1'
_space_group_IT_number 1
_space_group_name_Hall 'P 1'
loop_
_atom_site_label
_atom_site_fract_x
_atom_site_fract_y
_atom_site_fract_z
Sr1 0.4939 0.2153 0.7497
Sr2 0.9939 0.7847 0.2497
Nd1 0.5127 0.3016 0.2487
Nd2 0.0127 0.6984 0.7487
Mg1 0.5008 0.7560 0.9991
Mg2 0.0008 0.2440 0.4991
Ru1 0.5000 0.7523 0.5002
Ru2 0.0000 0.2477 0.0002
O1 0.6951 0.0376 0.4554
O2 0.1951 0.9624 0.9554
O3 0.2862 0.4778 0.5390
O4 0.7862 0.5222 0.0390
O5 0.5885 0.7638 0.7432
O6 0.0885 0.2362 0.2432
O7 0.4364 0.7272 0.2567
O8 0.9364 0.2728 0.7567
O9 0.2132 0.9487 0.5438
O10 0.7132 0.0513 0.0438
O11 0.7730 0.5354 0.4641
O12 0.2730 0.4646 0.9641
```

***

Number 1: total magnetization 0.0 μB per cell. Number 2: total magnetization 0.1 μB per cell. Number 3: total magnetization 1.6 μB per cell. Number 4: total magnetization 1.9 μB per cell. Number 5: total magnetization 0.0 μB per cell. Number 6: total magnetization 6.0 μB per cell.